Here is a relaxed Ce6SbS12 crystal from Alexandria via LeMat-Bulk. Energies are from PBE-GGA.

Calculated values
Calculated density (Mg/m³): 4.6
Crystal system: trigonal
Formation energy from raw total energies (eV/atom): -1.69

Lattice parameters (Å, degrees): 12.2414 12.2414 11.3280 90.00 90.00 120.00
Space group R-3 (No. 148, hexagonal axes)
Asymmetric unit:
Ce 0.0506 0.2669 0.1482 x18
Sb 0.0000 0.0000 0.5000 x3
S 0.0359 0.2204 0.8979 x18
S 0.0504 0.2125 0.3899 x18